Material: PdPtSO
Method: DFT, PBE
State: optimized geometry

```
PdPtSO
1.0
3.775 0.000 0.000
0.000 3.775 0.000
0.000 0.000 8.669
Pd Pt S O
2 2 2 2
direct
0.250 0.250 0.098
0.750 0.750 0.902
0.250 0.250 0.641
0.750 0.750 0.359
0.250 0.250 0.369
0.750 0.750 0.631
0.250 0.750 0.000
0.750 0.250 0.000
```

Results
The excess energy over the best structure of this formula in the dataset comes out at 0.404 eV/atom. The space-group type is P4/nmm.



Material: PdPtSO
Method: DFT, PBE
State: optimized geometry

```
PdPtSO
1.0
3.699 0.000 0.000
0.000 3.699 0.000
0.000 0.000 8.614
Pd Pt S O
2 2 2 2
direct
0.250 0.750 0.000
0.750 0.250 0.000
0.250 0.250 0.240
0.750 0.750 0.760
0.250 0.250 0.691
0.750 0.750 0.309
0.250 0.250 0.517
0.750 0.750 0.483
```

Results
The excess energy over the best structure of this formula in the dataset comes out at 0.276 eV/atom. The space-group type is P4/nmm.



Material: PdPtSO
Method: DFT, PBE
State: optimized geometry

```
PdPtSO
1.0
5.637 0.000 0.000
0.000 7.381 0.000
0.000 0.000 5.603
Pd Pt S O
4 4 4 4
direct
0.078 0.164 0.000
0.422 0.164 0.500
0.578 0.836 0.000
0.922 0.836 0.500
0.013 0.694 0.066
0.487 0.694 0.566
0.513 0.306 0.066
0.987 0.306 0.566
0.097 0.594 0.671
0.403 0.594 0.171
0.597 0.406 0.671
0.903 0.406 0.171
0.194 0.916 0.927
0.306 0.916 0.427
0.694 0.084 0.927
0.806 0.084 0.427
```

Results
The excess energy over the best structure of this formula in the dataset comes out at 0.021 eV/atom. The space-group type is Pca2_1.



Material: PdPtSO
Method: DFT, PBE
State: optimized geometry

```
PdPtSO
1.0
6.470 0.000 0.000
0.000 9.434 0.000
0.000 0.000 7.726
Pd Pt S O
8 8 8 8
direct
0.229 0.003 0.047
0.229 0.497 0.547
0.271 0.503 0.047
0.271 0.997 0.547
0.729 0.003 0.453
0.729 0.497 0.953
0.771 0.503 0.453
0.771 0.997 0.953
0.011 0.690 0.252
0.011 0.810 0.752
0.489 0.190 0.252
0.489 0.310 0.752
0.511 0.690 0.248
0.511 0.810 0.748
0.989 0.190 0.248
0.989 0.310 0.748
0.052 0.566 0.798
0.052 0.934 0.298
0.448 0.066 0.798
0.448 0.434 0.298
0.552 0.566 0.702
0.552 0.934 0.202
0.948 0.066 0.702
0.948 0.434 0.202
0.238 0.193 0.407
0.238 0.307 0.907
0.262 0.693 0.407
0.262 0.807 0.907
0.738 0.193 0.093
0.738 0.307 0.593
0.762 0.693 0.093
0.762 0.807 0.593
```

Results
The excess energy over the best structure of this formula in the dataset comes out at 0.051 eV/atom. The space-group type is Pbca.



Material: PdPtSO
Method: DFT, PBE
State: optimized geometry

```
PdPtSO
1.0
3.744 0.000 0.000
0.000 3.744 0.000
0.000 0.000 8.462
Pd Pt S O
2 2 2 2
direct
0.250 0.250 0.248
0.750 0.750 0.752
0.250 0.750 0.000
0.750 0.250 0.000
0.250 0.250 0.695
0.750 0.750 0.305
0.250 0.250 0.517
0.750 0.750 0.483
```

Results
The excess energy over the best structure of this formula in the dataset comes out at 0.209 eV/atom. The space-group type is P4/nmm.



Material: PdPtSO
Method: DFT, PBE
State: optimized geometry

```
PdPtSO
1.0
3.423 0.000 0.000
0.000 3.423 0.000
0.000 0.000 9.994
Pd Pt S O
2 2 2 2
direct
0.250 0.250 0.205
0.750 0.750 0.795
0.250 0.250 0.639
0.750 0.750 0.361
0.250 0.250 0.867
0.750 0.750 0.133
0.250 0.750 0.500
0.750 0.250 0.500
```

Results
The excess energy over the best structure of this formula in the dataset comes out at 0.305 eV/atom. The space-group type is P4/nmm.



V readings, ordered: 124; 118; 233; 472; 119; 117 Å³/cell